1.
The following is a PBE calculation of an optimized crystal structure of CuSiC3, from Alexandria.

Structure (extended XYZ):
```
5
Lattice="3.261 0.000 0.000 1.440 3.744 0.000 0.590 0.992 4.940" Properties=species:S:1:pos:R:3 pbc="T T T"
Cu 0.000 0.000 0.000
Si 2.061 1.766 2.340
C 2.270 3.616 2.030
C 1.661 0.430 1.027
C 3.681 1.028 2.972
```

## Properties
SG: P1 (1)
excess energy over the best structure of this formula in the dataset: 0.371 eV per atom
calculated volume: 12.1 A^3/atom
magnetization: 0.00 μB per formula unit
theoretical density: 3.516 Mg/m³
formation energy (no corrections): 19.5 kcal/mol of atoms


2.
The following is a PBE calculation of an optimized crystal structure of NdSm4Dy, from Alexandria.

Structure (extended XYZ):
```
12
Lattice="11.316 0.000 0.000 0.000 5.907 0.000 -0.021 0.000 6.059" Properties=species:S:1:pos:R:3 pbc="T T T"
Nd 0.000 0.000 0.000
Nd 5.658 2.954 0.000
Sm 1.967 2.954 0.274
Sm 1.968 0.000 2.761
Sm 3.669 2.954 3.299
Sm 3.670 0.000 5.786
Sm 7.625 0.000 0.274
Sm 7.626 2.954 2.761
Sm 9.327 0.000 3.299
Sm 9.328 2.954 5.786
Dy -0.010 2.954 3.030
Dy 5.648 0.000 3.030
```

## Properties
SG: C2/m (12)
ΔE_f: 0.7 eV/f.u.
excess energy over the best structure of this formula in the dataset: 0.000 eV per atom
calculated volume: 33.8 A^3/atom
magnetization: 0.00 μB per formula unit
theoretical density: 7.447 Mg/m³


3.
The following is a PBE calculation of an optimized crystal structure of TaCoNiIr, from Alexandria.

Structure (extended XYZ):
```
4
Lattice="3.715 0.000 0.000 0.000 3.751 0.000 0.000 0.000 3.826" Properties=species:S:1:pos:R:3 pbc="T T T"
Ta 0.000 0.000 0.000
Co 1.857 1.875 0.000
Ni 0.000 1.875 1.913
Ir 1.857 0.000 1.913
```

## Properties
SG: Pmmm (47)
ΔE_f: -1.7 eV/f.u.
excess energy over the best structure of this formula in the dataset: 0.000 eV per atom
calculated volume: 13.3 A^3/atom
magnetization: 0.71 μB per formula unit
theoretical density: 15.288 Mg/m³


4.
The following is a PBE calculation of an optimized crystal structure of BiAs2Ir2, from Alexandria.

Structure (extended XYZ):
```
10
Lattice="4.125 0.000 0.000 0.000 4.125 0.000 0.000 0.000 11.404" Properties=species:S:1:pos:R:3 pbc="T T T"
Bi 0.000 0.000 0.000
Bi 2.063 2.063 5.702
As 0.000 2.063 2.851
As 0.000 2.063 8.553
As 2.063 0.000 2.851
As 2.063 0.000 8.553
Ir 0.000 0.000 4.339
Ir 0.000 0.000 7.065
Ir 2.063 2.063 1.363
Ir 2.063 2.063 10.041
```

## Properties
SG: I4/mmm (139)
ΔE_f: 0.5 eV/f.u.
calculated volume: 19.4 A^3/atom
magnetization: 0.00 μB per formula unit
theoretical density: 12.719 Mg/m³


5.
The following is a PBE calculation of an optimized crystal structure of CoAgMo2, from Alexandria.

Structure (extended XYZ):
```
8
Lattice="9.080 0.000 0.000 0.000 2.697 0.000 -0.804 0.000 4.882" Properties=species:S:1:pos:R:3 pbc="T T T"
Co 0.000 0.000 0.000
Co 4.540 1.349 0.000
Ag 1.654 0.000 3.613
Ag 6.194 1.349 3.613
Mo 1.890 1.349 1.059
Mo 4.064 0.000 2.322
Mo 6.430 0.000 1.059
Mo 8.604 1.349 2.322
```

## Properties
SG: Cm (8)
ΔE_f: 1.8 eV/f.u.
excess energy over the best structure of this formula in the dataset: 0.155 eV per atom
calculated volume: 14.9 A^3/atom
magnetization: 0.00 μB per formula unit
theoretical density: 9.964 Mg/m³


6.
The following is a PBE calculation of an optimized crystal structure of Ag3AuO, from Alexandria.

Structure (extended XYZ):
```
5
Lattice="4.462 0.000 0.000 0.000 4.462 0.000 0.000 0.000 4.462" Properties=species:S:1:pos:R:3 pbc="T T T"
Ag 0.000 0.000 2.231
Ag 0.000 2.231 0.000
Ag 2.231 0.000 0.000
Au 2.231 2.231 2.231
O 0.000 0.000 0.000
```

## Properties
SG: Pm-3m (221)
excess energy over the best structure of this formula in the dataset: 0.000 eV per atom
calculated volume: 17.8 A^3/atom
magnetization: 0.00 μB per formula unit
theoretical density: 10.026 Mg/m³
formation energy (no corrections): 2.3 kcal/mol of atoms


- Which of these has the lowest calculated volume?
  CuSiC3


- magnetization of number 2 (NdSm4Dy)?
  0.00 μB per formula unit


- What is the theoretical density in the sixth record?
  10.026 Mg/m³